# LaVF3 PBE with a Hubbard U relaxed
data_LaVF3
_symmetry_space_group_name_H-M 'P 1'
_symmetry_Int_Tables_number 1
_cell_length_a 4.7518
_cell_length_b 4.7518
_cell_length_c 4.7518
_cell_angle_alpha 90.00
_cell_angle_beta 90.00
_cell_angle_gamma 90.00
loop_
_symmetry_equiv_pos_as_xyz
'x,y,z'
loop_
_atom_site_label
_atom_site_fract_x
_atom_site_fract_y
_atom_site_fract_z
_atom_site_occupancy
V1 0.5000 0.5000 0.5000 1
F1 0.5000 0.0000 0.0000 1
F2 0.0000 0.5000 0.0000 1
F3 0.0000 0.0000 0.5000 1
La1 0.0000 0.0000 0.0000 1
# - Space-group type: Pm-3m
# - ρ: 3.82 Mg/m³
# - DOS(E_F): 4.05 states/eV/cell
# - E_tot: -5.90 eV per atom